[1]
Computed, not measured: a relaxed structure of AlFe3Co4 at the PBE level of DFT.

The value obtained for the energy of formation is -0.20 eV per atom. The calculation puts the density of states at the Fermi level at 3.21 states/eV/f.u.

The structure belongs to space group P4/mmm (No. 123); the cell edges are 4.0242, 4.0242 and 5.7121 Å and the angles 90.00°, 90.00° and 90.00°. Symmetry generates all atoms from Al at (0.0000, 0.0000, 0.0000), Fe at (0.0000, 0.0000, 0.5000), Fe at (0.5000, 0.5000, 0.0000), Fe at (0.5000, 0.5000, 0.5000) and Co at (0.0000, 0.5000, 0.2545).

[2]
Computed, not measured: a relaxed structure of Al2FeCo at the PBE level of DFT.

The value obtained for the energy of formation is -0.30 eV per atom. The calculation puts the density of states at the Fermi level at 3.37 states/eV/f.u.

The structure belongs to space group I-4m2 (No. 119); the cell edges are 3.5501, 3.5501 and 7.9176 Å and the angles 90.00°, 90.00° and 90.00°. Symmetry generates all atoms from Al at (0.0000, 0.0000, 0.0000), Al at (0.0000, 0.5000, 0.2500), Fe at (0.0000, 0.0000, 0.5000) and Co at (0.0000, 0.5000, 0.7500).

[3]
Computed, not measured: a relaxed structure of AlFeCo2 at the PBE level of DFT.

The value obtained for the energy of formation is -0.18 eV per atom. The calculation puts the density of states at the Fermi level at 3.24 states/eV/f.u.

The structure belongs to space group P4mm (No. 99); the cell edges are 2.8333, 2.8333 and 5.7582 Å and the angles 90.00°, 90.00° and 90.00°. Symmetry generates all atoms from Al at (0.0000, 0.0000, 0.0000), Fe at (0.5000, 0.5000, 0.7322), Co at (0.0000, 0.0000, 0.5001) and Co at (0.5000, 0.5000, 0.2508).

[4]
Computed, not measured: a relaxed structure of Al6Fe5Co at the PBE level of DFT.

The value obtained for the energy of formation is -0.38 eV per atom. The calculation puts the density of states at the Fermi level at 12.46 states/eV/f.u.

The structure belongs to space group Cmmm (No. 65); the cell edges are 4.0608, 12.1795 and 5.7331 Å and the angles 90.00°, 90.00° and 90.00°. Symmetry generates all atoms from Al at (0.0000, 0.0000, 0.2495), Al at (0.0000, 0.3353, 0.2487), Fe at (0.0000, 0.1686, 0.0000), Fe at (0.0000, 0.1687, 0.5000), Fe at (0.0000, 0.5000, 0.5000) and Co at (0.0000, 0.5000, 0.0000).

[5]
Computed, not measured: a relaxed structure of AlFeCo2 at the PBE level of DFT.

The value obtained for the energy of formation is -0.08 eV per atom. The calculation puts the density of states at the Fermi level at 2.62 states/eV/f.u.

The structure belongs to space group R-3m (No. 166, hexagonal axes); the cell edges are 2.6117, 2.6117 and 23.9182 Å and the angles 90.00°, 90.00° and 120.00°. Symmetry generates all atoms from Al at (0.0000, 0.0000, 0.0000), Fe at (0.0000, 0.0000, 0.5000) and Co at (0.0000, 0.0000, 0.2492).

[6]
Computed, not measured: a relaxed structure of Al2Fe2Co at the PBE level of DFT.

The value obtained for the energy of formation is -0.05 eV per atom. The calculation puts the density of states at the Fermi level at 3.98 states/eV/f.u.

The structure belongs to space group P4/mbm (No. 127); the cell edges are 5.8679, 5.8679 and 3.7917 Å and the angles 90.00°, 90.00° and 90.00°. Symmetry generates all atoms from Al at (0.1700, 0.3300, 0.0000), Fe at (0.1347, 0.6347, 0.5000) and Co at (0.0000, 0.0000, 0.5000).

[7]
Computed, not measured: a relaxed structure of Al4Fe3Co at the PBE level of DFT.

The value obtained for the energy of formation is -0.40 eV per atom. The calculation puts the density of states at the Fermi level at 7.51 states/eV/f.u.

The structure belongs to space group P4/mmm (No. 123); the cell edges are 2.8647, 2.8647 and 11.4925 Å and the angles 90.00°, 90.00° and 90.00°. Symmetry generates all atoms from Al at (0.0000, 0.0000, 0.1251), Al at (0.0000, 0.0000, 0.3739), Fe at (0.5000, 0.5000, 0.2502), Fe at (0.5000, 0.5000, 0.5000) and Co at (0.5000, 0.5000, 0.0000).

[8]
Computed, not measured: a relaxed structure of Al2FeCo at the PBE level of DFT.

The value obtained for the energy of formation is -0.20 eV per atom. The calculation puts the density of states at the Fermi level at 2.81 states/eV/f.u.

The structure belongs to space group C2/m (No. 12); the cell edges are 8.1821, 2.7164 and 4.6590 Å and the angles 90.00°, 101.62° and 90.00°. Symmetry generates all atoms from Al at (0.2457, 0.0000, 0.2443), Fe at (0.0000, 0.0000, 0.5000) and Co at (0.0000, 0.5000, 0.0000).

[9]
Computed, not measured: a relaxed structure of AlFe5Co6 at the PBE level of DFT.

The value obtained for the energy of formation is -0.15 eV per atom. The calculation puts the density of states at the Fermi level at 4.82 states/eV/f.u.

The structure belongs to space group Immm (No. 71); the cell edges are 4.0272, 5.7055 and 12.0735 Å and the angles 90.00°, 90.00° and 90.00°. Symmetry generates all atoms from Al at (0.0000, 0.0000, 0.0000), Fe at (0.0000, 0.0000, 0.3330), Fe at (0.0000, 0.5000, 0.0000), Fe at (0.0000, 0.5000, 0.3344), Co at (0.0000, 0.2455, 0.5000) and Co at (0.0000, 0.2524, 0.1684).

[10]
Computed, not measured: a relaxed structure of Al2FeCo at the PBE level of DFT.

The value obtained for the energy of formation is -0.08 eV per atom. The calculation puts the density of states at the Fermi level at 2.59 states/eV/f.u.

The structure belongs to space group R3m (No. 160, hexagonal axes); the cell edges are 2.7153, 2.7153 and 24.6144 Å and the angles 90.00°, 90.00° and 120.00°. Symmetry generates all atoms from Al at (0.0000, 0.0000, 0.0000), Al at (0.0000, 0.0000, 0.2388), Fe at (0.0000, 0.0000, 0.4898) and Co at (0.0000, 0.0000, 0.7463).

[11]
Computed, not measured: a relaxed structure of Al2Fe2Co at the PBE level of DFT.

The value obtained for the energy of formation is -0.03 eV per atom. The calculation puts the density of states at the Fermi level at 4.98 states/eV/f.u.

The structure belongs to space group P4/mbm (No. 127); the cell edges are 6.4982, 6.4982 and 3.0205 Å and the angles 90.00°, 90.00° and 90.00°. Symmetry generates all atoms from Al at (0.1400, 0.3600, 0.0000), Fe at (0.1604, 0.6604, 0.5000) and Co at (0.0000, 0.0000, 0.0000).

[12]
Computed, not measured: a relaxed structure of AlFe2Co2 at the PBE level of DFT.

The value obtained for the energy of formation is 0.08 eV per atom. The calculation puts the density of states at the Fermi level at 4.58 states/eV/f.u.

The structure belongs to space group P4/mbm (No. 127); the cell edges are 6.7838, 6.7838 and 2.6833 Å and the angles 90.00°, 90.00° and 90.00°. Symmetry generates all atoms from Al at (0.0000, 0.0000, 0.0000), Fe at (0.1267, 0.3733, 0.0000) and Co at (0.1702, 0.6702, 0.5000).

- The lowest energy of formation belongs to which entry?
  Al4Fe3Co

- Which of these has the highest energy of formation?
  AlFe2Co2

Copy entry 12 word for word.
Computed, not measured: a relaxed structure of AlFe2Co2 at the PBE level of DFT.

The value obtained for the energy of formation is 0.08 eV per atom. The calculation puts the density of states at the Fermi level at 4.58 states/eV/f.u.

The structure belongs to space group P4/mbm (No. 127); the cell edges are 6.7838, 6.7838 and 2.6833 Å and the angles 90.00°, 90.00° and 90.00°. Symmetry generates all atoms from Al at (0.0000, 0.0000, 0.0000), Fe at (0.1267, 0.3733, 0.0000) and Co at (0.1702, 0.6702, 0.5000).